1.
First-principles (PBE) data for a relaxed Sc2Ga4NiPd crystal, as listed in OQMD via LeMat-Bulk.

Values from the calculation:
crystal system	orthorhombic
SG	No. 38
VASP energy	-5.131	eV/atom

```
16
Lattice="6.533 0.000 0.000 0.000 4.154 0.000 0.000 0.000 9.732" Properties=species:S:1:pos:R:3 pbc="T T T"
Sc 0.000 0.000 0.000
Sc 0.000 2.077 4.866
Sc 3.266 0.000 1.520
Sc 3.266 2.077 6.386
Ga 1.266 0.000 6.901
Ga 1.266 2.077 2.035
Ga 1.897 0.000 4.312
Ga 1.897 2.077 9.178
Ga 4.635 0.000 4.312
Ga 4.635 2.077 9.178
Ga 5.267 0.000 6.901
Ga 5.267 2.077 2.035
Ni 0.000 0.000 2.738
Ni 0.000 2.077 7.604
Pd 3.266 0.000 8.483
Pd 3.266 2.077 3.618
```

=====

2.
First-principles (PBE) data for a relaxed SmGa2NiPd crystal, as listed in OQMD via LeMat-Bulk.

Values from the calculation:
crystal system	tetragonal
SG	No. 129
VASP energy	-5.014	eV/atom

```
10
Lattice="4.152 0.000 0.000 0.000 4.152 0.000 0.000 0.000 10.313" Properties=species:S:1:pos:R:3 pbc="T T T"
Sm 1.038 1.038 2.426
Sm 3.114 3.114 7.887
Ga 1.038 1.038 6.666
Ga 1.038 3.114 0.000
Ga 3.114 1.038 0.000
Ga 3.114 3.114 3.647
Ni 1.038 1.038 9.013
Ni 3.114 3.114 1.300
Pd 1.038 3.114 5.156
Pd 3.114 1.038 5.156
```

=====

- Which value of VASP energy does entry 1 give?
  -5.131 eV/atom

=====

- VASP energy of number 2 (SmGa2NiPd)?
  -5.014 eV/atom

=====

- Which formula does entry 2 have?
  SmGa2NiPd